# CuBr GGA-PBE optimized geometry
data_CuBr
_chemical_formula_sum 'Cu2 Br2'
_cell_length_a 4.075
_cell_length_b 4.183
_cell_length_c 7.277
_cell_angle_alpha 90.00
_cell_angle_beta 90.00
_cell_angle_gamma 90.00
_space_group_name_H-M_alt 'P m m a'
_space_group_IT_number 51
_space_group_name_Hall '-P 2a 2a'
loop_
_atom_site_label
_atom_site_type_symbol
_atom_site_fract_x
_atom_site_fract_y
_atom_site_fract_z
_atom_site_occupancy
Cu1 Cu 0.250 0.000 0.111 1
Br1 Br 0.250 0.500 0.242 1
# Magnetization = 0.0 μB/cell
# Formation energy from raw total energies = -0.18 eV per formula unit